10
Lattice="4.9218 0.0000 0.0000 0.0000 7.3466 0.0000 0.0000 0.0000 7.3466" Properties=species:S:1:pos:R:3 comment="meta-GGA SCAN Na2Tl2Ag, PBEsol geometry" crystal_system=tetragonal e_form_ev_per_atom=-0.056 pbc="T T T"
Tl 0.0000 1.0596 2.6138
Tl 0.0000 4.7329 1.0596
Na 2.4609 2.4326 1.2407
Ag 0.0000 3.6733 3.6733
Tl 0.0000 6.2871 4.7329
Na 2.4609 1.2407 4.9140
Tl 0.0000 2.6138 6.2871
Na 2.4609 6.1060 2.4326
Ag 0.0000 0.0000 0.0000
Na 2.4609 4.9140 6.1060



4
Lattice="-3.1261 3.9203 -0.4951 -4.9048 -0.5451 1.0159 -1.9822 2.1737 4.0905" Properties=species:S:1:pos:R:3 comment="meta-GGA SCAN NaTl2Ag, PBEsol geometry" crystal_system=cubic e_form_ev_per_atom=-0.049 pbc="T T T"
Na 0.0000 0.0000 0.0000
Tl -7.5099 4.1617 3.4584
Tl -2.5033 1.3872 1.1528
Ag -5.0066 2.7745 2.3056



4
Lattice="-2.5404 1.6733 -3.4344 -3.9449 -2.0447 -1.1426 -3.9978 2.0639 0.8983" Properties=species:S:1:pos:R:3 comment="meta-GGA SCAN NaAg2W, PBEsol geometry" crystal_system=cubic e_form_ev_per_atom=1.087 pbc="T T T"
Ag -2.6208 0.4231 -0.9197
W -5.2416 0.8463 -1.8394
Ag -7.8624 1.2694 -2.7591
Na 0.0000 0.0000 0.0000



5
Lattice="4.8408 0.0000 0.0000 0.0000 4.8408 0.0000 0.0000 0.0000 4.8408" Properties=species:S:1:pos:R:3 comment="meta-GGA SCAN NaYAg3, PBEsol geometry" crystal_system=cubic e_form_ev_per_atom=0.420 pbc="T T T"
Ag 2.4204 0.0000 0.0000
Ag 0.0000 2.4204 0.0000
Na 0.0000 0.0000 0.0000
Y 2.4204 2.4204 2.4204
Ag 0.0000 0.0000 2.4204



4
Lattice="-2.4273 -2.2633 3.6921 -3.2362 -3.6259 -1.0126 1.0898 -4.6990 1.1736" Properties=species:S:1:pos:R:3 comment="meta-GGA SCAN NaYAg2, PBEsol geometry" crystal_system=cubic e_form_ev_per_atom=-0.136 pbc="T T T"
Na 0.0000 0.0000 0.0000
Y -2.2868 -5.2941 1.9265
Ag -1.1434 -2.6470 0.9633
Ag -3.4302 -7.9411 2.8898



10
Lattice="-0.1654 -2.4335 1.3660 3.9321 3.1119 6.0197 -6.7606 2.2775 3.2387" Properties=species:S:1:pos:R:3 comment="meta-GGA SCAN NaZn2Ag2, PBEsol geometry" crystal_system=tetragonal de_polymorph_mev_per_atom=0.0 e_form_ev_per_atom=-0.048 pbc="T T T"
Ag -4.4185 3.1170 5.0178
Na 0.0000 0.0000 0.0000
Zn -3.1182 2.7540 7.3891
Zn 0.1244 0.2019 3.2354
Ag -1.9589 1.2497 1.9891
Zn 0.9344 2.1474 6.7990
Ag 1.5901 2.2724 4.2406
Na -1.4142 2.6947 4.6292
Ag -0.8696 4.1398 7.2694
Zn -3.9283 0.8086 3.8254



5
Lattice="-2.5115 -1.1691 4.7460 4.8016 0.4075 2.6413 -0.9139 5.3540 0.8352" Properties=species:S:1:pos:R:3 comment="meta-GGA SCAN Na3ZnAg, PBEsol geometry" crystal_system=cubic e_form_ev_per_atom=0.321 pbc="T T T"
Ag 0.0000 0.0000 0.0000
Na 2.4008 0.2038 1.3207
Na -0.4569 2.6770 0.4176
Na -1.2557 -0.5845 2.3730
Zn 0.6881 2.2963 4.1113



5
Lattice="-3.1768 -1.4374 0.0976 0.1975 -0.2004 3.4769 -2.2042 9.0293 -1.1042" Properties=species:S:1:pos:R:3 comment="meta-GGA SCAN Na2Zn2Ag, PBEsol geometry" crystal_system=tetragonal de_polymorph_mev_per_atom=73.2 e_form_ev_per_atom=0.107 pbc="T T T"
Zn -3.4354 3.3865 0.3903
Zn -1.7482 4.0050 2.0800
Na -2.2428 0.8550 1.9265
Na -2.9408 6.5366 0.5438
Ag 0.0000 0.0000 0.0000



5
Lattice="-3.7663 2.6681 1.2926 -1.7310 -0.2823 -4.4608 -2.4069 -3.9719 1.1854" Properties=species:S:1:pos:R:3 comment="meta-GGA SCAN NaZnAg3, PBEsol geometry" crystal_system=cubic e_form_ev_per_atom=0.978 pbc="T T T"
Zn -3.9521 -0.7931 -0.9914
Ag -1.8832 1.3341 0.6463
Ag -0.8655 -0.1412 -2.2304
Na 0.0000 0.0000 0.0000
Ag -1.2035 -1.9860 0.5927



10
Lattice="-0.2522 4.1139 -2.4344 -3.6135 -3.0096 -4.7116 -5.5797 1.5895 3.2641" Properties=species:S:1:pos:R:3 comment="meta-GGA SCAN Na2Zn2Ag, PBEsol geometry" crystal_system=tetragonal de_polymorph_mev_per_atom=0.0 e_form_ev_per_atom=0.034 pbc="T T T"
Zn -3.0280 -1.6934 -2.5481
Zn -2.5287 0.1838 0.5726
Na -2.2841 1.3738 -2.1481
Zn -6.1653 0.2734 1.1006
Na -4.8871 0.0958 -4.0381
Zn -6.6646 -1.6039 -2.0201
Na -7.1613 1.3201 -1.7338
Na -4.5583 2.5980 0.1562
Ag 0.0000 0.0000 0.0000
Ag -4.5966 -0.7100 -0.7238



5
Lattice="3.8731 0.0000 0.0000 0.0000 3.8731 0.0000 -1.9366 -1.9366 6.2782" Properties=species:S:1:pos:R:3 comment="meta-GGA SCAN NaZn2Ag2, PBEsol geometry" crystal_system=tetragonal de_polymorph_mev_per_atom=95.3 e_form_ev_per_atom=0.047 pbc="T T T"
Ag 1.9366 1.9366 1.3597
Ag 0.0000 0.0000 4.9185
Zn 0.0000 1.9366 3.1391
Zn 1.9366 0.0000 3.1391
Na 0.0000 0.0000 0.0000



4
Lattice="4.8665 0.0000 0.0000 2.4333 4.2145 0.0000 2.4333 1.4048 3.9735" Properties=species:S:1:pos:R:3 comment="meta-GGA SCAN NaZr2Ag, PBEsol geometry" crystal_system=cubic e_form_ev_per_atom=0.421 pbc="T T T"
Na 0.0000 0.0000 0.0000
Zr 2.4333 1.4048 0.9934
Ag 4.8665 2.8097 1.9867
Zr 7.2998 4.2145 2.9801



24
Lattice="-5.6774 2.3612 -3.4074 -4.4672 -4.8322 -3.1570 -6.5859 -1.1378 2.9333" Properties=species:S:1:pos:R:3 comment="meta-GGA SCAN Nb3AgO8, PBEsol geometry" crystal_system=orthorhombic formation_energy_uncorrected_ev_per_atom=-2.422 pbc="T T T"
O -7.7450 -1.6198 -2.7210
O -8.9855 -1.9891 -0.9101
O -6.5904 1.0054 -2.8257
O -9.1487 0.5749 -1.7967
O -5.4994 -2.0191 -2.4230
Ag -1.4193 0.5903 -0.8518
Ag -4.2580 1.7709 -2.5555
O -7.5818 -4.1837 -1.8344
O -3.7158 -0.2378 -1.2252
Nb -6.5823 -0.8199 -4.1040
O -11.2310 -1.5897 -1.2080
Nb -11.9067 -3.4917 -4.3355
O -6.8506 -0.3809 -0.4175
Nb -6.9459 -2.3947 -0.9637
O -13.0146 -3.3710 -2.4059
O -7.8517 -2.9951 0.8201
O -9.8798 -3.2280 -3.2136
O -11.3526 -1.6308 -3.9694
Nb -10.1481 -2.7889 0.4729
O -8.8787 -0.6137 -4.4512
Nb -4.8237 -0.1171 0.7044
O -10.1401 -4.6142 -0.8053
Nb -9.7846 -1.2141 -2.6674
O -5.3779 -1.9780 0.3383



5
Lattice="-1.2414 2.4953 2.7080 -1.3391 -2.9680 2.1210 4.1972 -0.3127 2.2123" Properties=species:S:1:pos:R:3 comment="meta-GGA SCAN NbAgPO2, PBEsol geometry" crystal_system=tetragonal formation_energy_uncorrected_ev_per_atom=0.390 pbc="T T T"
Ag 0.0000 0.0000 0.0000
O -0.6207 1.2477 1.3540
Nb 0.8083 -0.3927 3.5207
P 2.0986 -0.1564 1.1062
O -0.6696 -1.4840 1.0605



5
Lattice="-2.6484 3.1522 0.0995 -2.1450 -1.7051 -3.0744 -2.3504 -2.0626 2.7839" Properties=species:S:1:pos:R:3 comment="meta-GGA SCAN NbAgRh2O, PBEsol geometry" crystal_system=tetragonal formation_energy_uncorrected_ev_per_atom=0.288 pbc="T T T"
Rh -1.0725 -0.8526 -1.5372
O 0.0000 0.0000 0.0000
Rh -1.3242 1.5761 0.0498
Ag -1.1752 -1.0313 1.3919
Nb -3.5719 -0.3077 -0.0955



5
Lattice="-3.2811 -3.1387 -2.1990 3.8127 -2.9662 -1.4551 -0.3884 -2.6136 4.3100" Properties=species:S:1:pos:R:3 comment="meta-GGA SCAN NbZn2AgO, PBEsol geometry" crystal_system=tetragonal formation_energy_uncorrected_ev_per_atom=1.665 pbc="T T T"
Zn 1.9063 -1.4831 -0.7276
Zn -1.6406 -1.5693 -1.0995
O 0.0716 -4.3592 0.3280
Nb 0.0000 0.0000 0.0000
Ag -0.1942 -1.3068 2.1550



5
Lattice="4.8967 0.0000 0.0000 0.0000 4.8967 0.0000 0.0000 0.0000 4.8967" Properties=species:S:1:pos:R:3 comment="meta-GGA SCAN NbAg3Pt, PBEsol geometry" crystal_system=cubic de_polymorph_mev_per_atom=0.0 e_form_ev_per_atom=1.263 pbc="T T T"
Ag 0.0000 2.4483 0.0000
Ag 0.0000 0.0000 2.4483
Nb 2.4483 2.4483 2.4483
Ag 2.4483 0.0000 0.0000
Pt 0.0000 0.0000 0.0000



5
Lattice="4.9092 0.0000 0.0000 0.0000 4.9092 0.0000 0.0000 0.0000 4.9092" Properties=species:S:1:pos:R:3 comment="meta-GGA SCAN NbAg3Pt, PBEsol geometry" crystal_system=cubic de_polymorph_mev_per_atom=744.3 e_form_ev_per_atom=2.007 pbc="T T T"
Ag 0.0000 2.4546 0.0000
Ag 2.4546 0.0000 0.0000
Pt 2.4546 2.4546 2.4546
Ag 0.0000 0.0000 2.4546
Nb 0.0000 0.0000 0.0000



5
Lattice="-2.9596 -1.7311 -3.2296 -2.2167 -2.4598 3.3499 -2.9178 3.6247 0.7309" Properties=species:S:1:pos:R:3 comment="meta-GGA SCAN NbAgPt3, PBEsol geometry" crystal_system=cubic e_form_ev_per_atom=1.570 pbc="T T T"
Ag 0.0000 0.0000 0.0000
Pt -1.1084 -1.2299 1.6749
Nb -4.0470 -0.2831 0.4256
Pt -1.4589 1.8124 0.3654
Pt -1.4798 -0.8656 -1.6148



5
Lattice="-1.4689 4.5337 -0.2013 -2.2047 -0.5280 4.1968 3.9666 1.3854 2.2581" Properties=species:S:1:pos:R:3 comment="meta-GGA SCAN Nb3AgPt, PBEsol geometry" crystal_system=cubic e_form_ev_per_atom=1.846 pbc="T T T"
Nb -1.1023 -0.2640 2.0984
Ag 0.0000 0.0000 0.0000
Pt 0.1465 2.6955 3.1268
Nb 1.9833 0.6927 1.1290
Nb -0.7344 2.2668 -0.1006



N(E_F) in states/eV per cell, matching the order above: 5.23 1.53 3.54 2.23 2.67 2.97 2.96 1.27 1.70 3.04 1.47 4.03 0.00 3.50 3.80 3.18 1.88 6.33 5.85 7.38
Size of the total moment in μB/cell, matching the order above: 0.00 0.00 1.03 0.00 0.00 0.00 0.00 0.00 0.00 0.00 0.00 0.00 0.00 1.36 1.81 0.85 3.41 0.97 1.89 0.01
Theoretical density in g/cm³, matching the order above: 7.0 9.9 10.3 6.4 6.3 7.2 2.4 4.3 6.2 4.5 6.5 6.4 6.3 6.1 9.9 4.5 8.6 8.6 12.5 8.9